# LaCd PBE-GGA optimized geometry
# DFT formation energy = 0.02 eV/atom
# V = 284 Å³ per cell
data_LaCd
_symmetry_space_group_name_H-M 'F m -3 m'
_symmetry_Int_Tables_number 225
_symmetry_space_group_name_Hall '-F 4 2 3'
_cell_length_a 6.570
_cell_length_b 6.570
_cell_length_c 6.570
_cell_angle_alpha 90.00
_cell_angle_beta 90.00
_cell_angle_gamma 90.00
loop_
_atom_site_label
_atom_site_type_symbol
_atom_site_fract_x
_atom_site_fract_y
_atom_site_fract_z
La1 La 0.000 0.000 0.000
Cd1 Cd 0.000 0.000 0.500

=====

# La3Cd PBE-GGA optimized geometry
# DFT formation energy = -0.11 eV/atom
# V = 262 Å³ per cell
data_La3Cd
_symmetry_space_group_name_H-M 'C m m m'
_symmetry_Int_Tables_number 65
_symmetry_space_group_name_Hall '-C 2 2'
_cell_length_a 7.588
_cell_length_b 9.230
_cell_length_c 3.747
_cell_angle_alpha 90.00
_cell_angle_beta 90.00
_cell_angle_gamma 90.00
loop_
_atom_site_label
_atom_site_type_symbol
_atom_site_fract_x
_atom_site_fract_y
_atom_site_fract_z
La1 La 0.000 0.000 0.000
La2 La 0.250 0.250 0.500
Cd1 Cd 0.000 0.500 0.000

=====

# La5Cd PBE-GGA optimized geometry
# DFT formation energy = -0.10 eV/atom
# V = 418 Å³ per cell
data_La5Cd
_symmetry_space_group_name_H-M 'C 1 m 1'
_symmetry_Int_Tables_number 8
_cell_length_a 12.787
_cell_length_b 3.863
_cell_length_c 9.043
_cell_angle_alpha 90.00
_cell_angle_beta 110.81
_cell_angle_gamma 90.00
loop_
_symmetry_equiv_pos_as_xyz
'x,y,z'
'x,-y,z'
'x+1/2,y+1/2,z'
'x+1/2,-y+1/2,z'
loop_
_atom_site_label
_atom_site_type_symbol
_atom_site_fract_x
_atom_site_fract_y
_atom_site_fract_z
La1 La 0.000 0.000 0.000
La2 La 0.001 0.000 0.578
La3 La 0.137 0.500 0.349
La4 La 0.299 0.000 0.700
La5 La 0.331 0.000 0.203
Cd1 Cd 0.177 0.500 0.894